# ScSiPt, optimized geometry, DFT PBE-GGA
# final energy	-127.62	eV per cell
# formation energy without anion corrections	-1158	meV per atom
data_ScSiPt
_chemical_formula_sum 'Sc6 Si6 Pt6'
_space_group_name_H-M_alt 'P 1 21/m 1'
_space_group_IT_number 11
_space_group_name_Hall '-P 2yb'
_cell_length_a 6.627
_cell_length_b 3.970
_cell_length_c 11.333
_cell_angle_alpha 90.00
_cell_angle_beta 90.85
_cell_angle_gamma 90.00
loop_
_atom_site_label
_atom_site_type_symbol
_atom_site_fract_x
_atom_site_fract_y
_atom_site_fract_z
_atom_site_occupancy
Sc1 Sc 0.003 0.250 0.207 1
Sc2 Sc 0.348 0.750 0.575 1
Sc3 Sc 0.484 0.750 0.872 1
Si1 Si 0.211 0.750 0.078 1
Si2 Si 0.231 0.250 0.413 1
Si3 Si 0.283 0.250 0.746 1
Pt1 Pt 0.019 0.250 0.594 1
Pt2 Pt 0.180 0.250 0.955 1
Pt3 Pt 0.351 0.750 0.287 1